Arrangement 1

Entry from Alexandria: an optimized crystal structure of Dy2TmSe (PBE).

The structure belongs to space group R3m (No. 160, hexagonal axes); the cell edges are 3.7795, 3.7795 and 27.9844 Å and the angles 90.00°, 90.00° and 120.00°. Symmetry generates all atoms from Dy at (0.0000, 0.0000, 0.0000), Dy at (0.0000, 0.0000, 0.2003), Tm at (0.0000, 0.0000, 0.4329) and Se at (0.0000, 0.0000, 0.6000).

The calculated volume comes out at 346 Å³ per cell. Its magnetization is 1.04 μB per cell.

Arrangement 2

Entry from Alexandria: an optimized crystal structure of Dy2TmSe (PBE).

The structure belongs to space group P4/mmm (No. 123); the cell edges are 3.592, 3.592 and 8.413 Å and the angles 90.00°, 90.00° and 90.00°. Symmetry generates all atoms from Dy at (0.000, 0.000, 0.210), Tm at (0.500, 0.500, 0.500) and Se at (0.500, 0.500, 0.000).

The calculated volume comes out at 109 Å³ per cell. Its magnetization is 0.00 μB per cell.

Arrangement 3

Entry from Alexandria: an optimized crystal structure of Dy2TmSe (PBE).

The structure belongs to space group R-3m (No. 166, hexagonal axes); the cell edges are 3.6987, 3.6987 and 30.7789 Å and the angles 90.00°, 90.00° and 120.00°. Symmetry generates all atoms from Dy at (0.0000, 0.0000, 0.1078), Tm at (0.0000, 0.0000, 0.0000) and Se at (0.0000, 0.0000, 0.5000).

The calculated volume comes out at 365 Å³ per cell. Its magnetization is 0.00 μB per cell.

Energies relative to the most stable structure, in meV/atom: arrangement 1 0; arrangement 2 121; arrangement 3 283.

Arrangement 1

Entry from Alexandria: an optimized crystal structure of DyTm3Se6 (PBE).

The structure belongs to space group R-3 (No. 148, hexagonal axes); the cell edges are 11.8553, 11.8553 and 14.1960 Å and the angles 90.00°, 90.00° and 120.00°. Symmetry generates all atoms from Dy at (0.0000, 0.0000, 0.0000), Dy at (0.0000, 0.0000, 0.5000), Tm at (0.0530, 0.2718, 0.2017), Se at (0.0180, 0.2134, 0.3956) and Se at (0.0322, 0.1955, 0.8732).

The calculated volume comes out at 1728 Å³ per cell. Its magnetization is 0.00 μB per cell.

Arrangement 2

Entry from Alexandria: an optimized crystal structure of DyTm3Se6 (PBE).

The structure belongs to space group P2_1/m (No. 11); the cell edges are 11.475, 4.057 and 11.740 Å and the angles 90.00°, 109.25° and 90.00°. Symmetry generates all atoms from Dy at (0.044, 0.250, 0.193), Tm at (0.159, 0.250, 0.584), Tm at (0.317, 0.750, 0.999), Tm at (0.434, 0.250, 0.333), Se at (0.082, 0.750, 0.402), Se at (0.112, 0.250, 0.965), Se at (0.194, 0.750, 0.750), Se at (0.255, 0.750, 0.224), Se at (0.395, 0.250, 0.562) and Se at (0.479, 0.250, 0.115).

The calculated volume comes out at 516 Å³ per cell. Its magnetization is 0.00 μB per cell.

Energies relative to the most stable structure, in meV/atom: arrangement 1 36; arrangement 2 0.

Arrangement 1

Entry from Alexandria: an optimized crystal structure of DyTmSe (PBE).

The structure belongs to space group I4mm (No. 107); the cell edges are 3.570, 3.570 and 12.128 Å and the angles 90.00°, 90.00° and 90.00°. Symmetry generates all atoms from Dy at (0.000, 0.000, 0.000), Tm at (0.000, 0.000, 0.293) and Se at (0.000, 0.000, 0.649).

The calculated volume comes out at 155 Å³ per cell. Its magnetization is 0.00 μB per cell.

Arrangement 2

Entry from Alexandria: an optimized crystal structure of DyTmSe (PBE).

The structure belongs to space group Pmmm (No. 47); the cell edges are 3.675, 4.586 and 4.758 Å and the angles 90.00°, 90.00° and 90.00°. Symmetry generates all atoms from Dy at (0.000, 0.000, 0.000), Tm at (0.000, 0.500, 0.500) and Se at (0.500, 0.000, 0.500).

The calculated volume comes out at 80 Å³ per cell. Its magnetization is 0.00 μB per cell.

Energies relative to the most stable structure, in meV/atom: arrangement 1 0; arrangement 2 223.

Arrangement 1

Entry from Alexandria: an optimized crystal structure of Dy3TmSe4 (PBE).

The structure belongs to space group Pm-3m (No. 221); the cell edges are 5.743, 5.743 and 5.743 Å and the angles 90.00°, 90.00° and 90.00°. Symmetry generates all atoms from Dy at (0.000, 0.000, 0.500), Tm at (0.500, 0.500, 0.500), Se at (0.000, 0.000, 0.000) and Se at (0.000, 0.500, 0.500).

The calculated volume comes out at 189 Å³ per cell. Its magnetization is 0.00 μB per cell.

Arrangement 2

Entry from Alexandria: an optimized crystal structure of Dy3TmSe4 (PBE).

The structure belongs to space group P2/c (No. 13); the cell edges are 7.074, 8.031 and 7.053 Å and the angles 90.00°, 109.19° and 90.00°. Symmetry generates all atoms from Dy at (0.000, 0.124, 0.250), Dy at (0.000, 0.374, 0.750), Dy at (0.500, 0.124, 0.750), Tm at (0.500, 0.374, 0.250), Se at (0.252, 0.127, 0.002) and Se at (0.254, 0.377, 0.500).

The calculated volume comes out at 378 Å³ per cell. Its magnetization is 0.00 μB per cell.

Energies relative to the most stable structure, in meV/atom: arrangement 1 10; arrangement 2 0.

Arrangement 1

Entry from Alexandria: an optimized crystal structure of Dy2Tm3Se6 (PBE).

The structure belongs to space group R-3m (No. 166, hexagonal axes); the cell edges are 4.0814, 4.0814 and 59.7659 Å and the angles 90.00°, 90.00° and 120.00°. Symmetry generates all atoms from Dy at (0.0000, 0.0000, 0.0543), Tm at (0.0000, 0.0000, 0.2195), Tm at (0.0000, 0.0000, 0.5000), Se at (0.0000, 0.0000, 0.1399), Se at (0.0000, 0.0000, 0.3028) and Se at (0.0000, 0.0000, 0.4192).

The calculated volume comes out at 862 Å³ per cell. Its magnetization is 0.00 μB per cell.

Arrangement 2

Entry from Alexandria: an optimized crystal structure of Dy2Tm3Se6 (PBE).

The structure belongs to space group C2/m (No. 12); the cell edges are 6.986, 12.038 and 6.970 Å and the angles 90.00°, 109.47° and 90.00°. Symmetry generates all atoms from Dy at (0.000, 0.165, 0.000), Tm at (0.000, 0.000, 0.500), Tm at (0.000, 0.334, 0.500), Se at (0.243, 0.500, 0.751) and Se at (0.248, 0.336, 0.252).

The calculated volume comes out at 553 Å³ per cell. Its magnetization is 0.00 μB per cell.

Energies relative to the most stable structure, in meV/atom: arrangement 1 107; arrangement 2 0.

Arrangement 1

Entry from Alexandria: an optimized crystal structure of Dy2USe5 (PBE).

The structure belongs to space group Fmmm (No. 69); the cell edges are 5.595, 9.497 and 15.342 Å and the angles 90.00°, 90.00° and 90.00°. Symmetry generates all atoms from Dy at (0.000, 0.000, 0.181), U at (0.000, 0.000, 0.500), Se at (0.000, 0.000, 0.000) and Se at (0.000, 0.165, 0.345).

The calculated volume comes out at 815 Å³ per cell. Its magnetization is 7.84 μB per cell.

Arrangement 2

Entry from Alexandria: an optimized crystal structure of Dy2USe5 (PBE).

The structure belongs to space group Cmcm (No. 63); the cell edges are 5.615, 13.543 and 13.690 Å and the angles 90.00°, 90.00° and 90.00°. Symmetry generates all atoms from Dy at (0.000, 0.148, 0.056), U at (0.000, 0.202, 0.750), Se at (0.000, 0.047, 0.622), Se at (0.000, 0.248, 0.250) and Se at (0.000, 0.321, 0.573).

The calculated volume comes out at 1041 Å³ per cell. Its magnetization is 8.00 μB per cell.

Energies relative to the most stable structure, in meV/atom: arrangement 1 219; arrangement 2 0.